AcErSn | Alexandria | PBE-GGA | relaxed; SG = I4mm, No. 107; energy above the most stable polymorph in this dataset = 72 kJ/mol of formula units; formation enthalpy at 0 K = -0.35 eV/atom
1.0
-2.0718 2.0718 5.6760
2.0718 -2.0718 5.6760
2.0718 2.0718 -5.6760
Ac Er Sn
1 1 1
Cartesian
0.0000 0.0000 0.0000 Ac
0.0000 0.0000 7.9965 Er
0.0000 0.0000 3.5915 Sn

=====

NiPt4 | Alexandria | PBE-GGA | relaxed; SG = I4/mmm, No. 139; energy above the most stable polymorph in this dataset = 237 kJ/mol of formula units; formation enthalpy at 0 K = 0.45 eV/atom
1.0
-1.8189 1.8189 6.5202
1.8189 -1.8189 6.5202
1.8189 1.8189 -6.5202
Ni Pt
1 4
Cartesian
0.0000 0.0000 0.0000 Ni
1.8189 0.0000 3.2601 Pt
0.0000 0.0000 5.2773 Pt
0.0000 0.0000 7.7630 Pt
0.0000 1.8189 3.2601 Pt

=====

ScSnPt2 | Alexandria | PBE-GGA | relaxed; SG = I-42d, No. 122; formation enthalpy at 0 K = -0.47 eV/atom
1.0
-2.1031 2.1031 9.0720
2.1031 -2.1031 9.0720
2.1031 2.1031 -9.0720
Sc Sn Pt
2 2 4
Cartesian
0.0000 0.0000 0.0000 Sc
0.0000 2.1031 4.5360 Sc
2.1031 0.0000 4.5360 Sn
0.0000 0.0000 9.0720 Sn
1.0516 -1.0469 6.8040 Pt
1.0563 1.0516 2.2680 Pt
1.0516 3.1500 -2.2680 Pt
1.0469 1.0516 11.3400 Pt

=====

Tb2Pm2Tl7 | Alexandria | PBE-GGA | relaxed; SG = Cmmm, No. 65; formation enthalpy at 0 K = 0.05 eV/atom
1.0
4.2823 -5.4607 0.0000
4.2823 5.4607 0.0000
0.0000 0.0000 7.8236
Tb Pm Tl
2 2 7
Cartesian
1.6443 0.0000 0.0000 Tb
6.9204 0.0000 0.0000 Tb
4.2823 2.1540 3.9118 Pm
4.2823 -2.1540 3.9118 Pm
0.0000 0.0000 3.9118 Tl
2.1412 2.7304 1.5899 Tl
2.1412 2.7304 6.2338 Tl
2.1412 -2.7304 1.5899 Tl
2.1412 -2.7304 6.2338 Tl
4.2823 0.0000 1.5988 Tl
4.2823 0.0000 6.2248 Tl

=====

BeTc2SbC | Alexandria | PBE-GGA | relaxed; formation energy from raw total energies = 0.170 eV/atom; SG = P4/mmm, No. 123
1.0
4.3015 0.0000 0.0000
0.0000 4.3015 0.0000
0.0000 0.0000 3.4824
Be Tc Sb C
1 2 1 1
Cartesian
0.0000 0.0000 0.0000 Be
0.0000 2.1508 1.7412 Tc
2.1508 0.0000 1.7412 Tc
2.1508 2.1508 0.0000 Sb
0.0000 0.0000 1.7412 C

=====

Cr2Ni6Ru | Alexandria | PBE-GGA | relaxed; SG = R-3m, No. 166; energy above the most stable polymorph in this dataset = 28 kJ/mol of formula units; formation enthalpy at 0 K = 0.05 eV/atom
1.0
3.4845 2.0118 2.4227
-3.4845 2.0118 2.4227
0.0000 -4.0235 2.4227
Cr Ni Ru
2 6 1
Cartesian
0.0000 0.0000 1.1746 Cr
0.0000 0.0000 6.0936 Cr
-1.1580 -2.0178 2.4227 Ni
-2.3265 0.0061 2.4227 Ni
1.1580 -2.0178 2.4227 Ni
-1.1685 2.0118 2.4227 Ni
2.3265 0.0061 2.4227 Ni
1.1685 2.0118 2.4227 Ni
0.0000 0.0000 3.6341 Ru

=====

Rb2VN | Alexandria | PBE-GGA | relaxed; formation energy from raw total energies = 0.206 eV/atom; SG = I-42d, No. 122
1.0
-6.2946 6.2946 1.9127
6.2946 -6.2946 1.9127
6.2946 6.2946 -1.9127
Rb V N
4 2 2
Cartesian
-0.5727 3.1473 0.4782 Rb
3.1473 5.7219 1.4345 Rb
0.5727 9.4418 0.4782 Rb
-3.1473 6.8673 1.4345 Rb
6.2946 0.0000 0.9564 V
0.0000 0.0000 1.9127 V
0.0000 0.0000 0.0000 N
0.0000 6.2946 0.9564 N

=====

TiCr2Ga2 | Alexandria | PBE-GGA | relaxed; SG = P4/mbm, No. 127; energy above the most stable polymorph in this dataset = 25 kJ/mol of formula units; formation enthalpy at 0 K = 0.05 eV/atom
1.0
7.2331 0.0000 0.0000
0.0000 7.2331 0.0000
0.0000 0.0000 2.7351
Ti Cr Ga
2 4 4
Cartesian
0.0000 0.0000 0.0000 Ti
3.6166 3.6166 0.0000 Ti
0.7575 2.8591 0.0000 Cr
2.8591 6.4756 0.0000 Cr
4.3741 0.7575 0.0000 Cr
6.4756 4.3741 0.0000 Cr
1.3609 4.9775 1.3676 Ga
2.2556 1.3609 1.3676 Ga
4.9775 5.8722 1.3676 Ga
5.8722 2.2556 1.3676 Ga